Material: ZrC3
Method: DFT, GGA-PBEsol
State: optimized geometry

The space group is C2/m (No. 12) and the conventional cell measures 7.126, 2.722 and 4.505 Å, with angles of 90.00, 115.89 and 90.00 degrees. The asymmetric unit holds Zr at (0.000, 0.000, 0.000), C at (0.000, 0.500, 0.500) and C at (0.189, 0.500, 0.480).

For the energy relative to the elements, the calculation gives 487.6 meV/atom. The calculation puts the total magnetization at 0.00 μB/atom. The theoretical density comes out at 5.4 g/cm³. The energy above the most stable polymorph in this dataset is 0.000 eV/atom.

***

Material: MgSiRu
Method: DFT, GGA-PBEsol
State: optimized geometry

The space group is I4mm (No. 107) and the conventional cell measures 3.071, 3.071 and 9.197 Å, with angles of 90.00, 90.00 and 90.00 degrees. The asymmetric unit holds Mg at (0.000, 0.000, 0.000), Si at (0.000, 0.000, 0.307) and Ru at (0.000, 0.000, 0.690).

The formation energy without anion corrections is -0.473 eV per atom. The calculation puts the total magnetization at 0.00 μB/atom. The theoretical density comes out at 5.9 g/cm³.

***

Material: Mn2ReAs
Method: DFT, GGA-PBEsol
State: optimized geometry

The space group is R-3m (No. 166, hexagonal axes) and the conventional cell measures 2.7185, 2.7185 and 23.7010 Å, with angles of 90.00, 90.00 and 120.00 degrees. The asymmetric unit holds Mn at (0.0000, 0.0000, 0.2472), Re at (0.0000, 0.0000, 0.0000) and As at (0.0000, 0.0000, 0.5000).

For the energy relative to the elements, the calculation gives 161.2 meV/atom. The calculation puts the total magnetization at 0.33 μB/atom. The theoretical density comes out at 12.2 g/cm³.

***

Material: Ca3Cr
Method: DFT, GGA-PBEsol
State: optimized geometry

The space group is Immm (No. 71) and the conventional cell measures 4.059, 5.715 and 11.095 Å, with angles of 90.00, 90.00 and 90.00 degrees. The asymmetric unit holds Ca at (0.000, 0.000, 0.000), Ca at (0.000, 0.500, 0.216) and Cr at (0.000, 0.000, 0.500).

For the energy relative to the elements, the calculation gives 464.2 meV/atom. The calculation puts the total magnetization at 1.14 μB/atom. The theoretical density comes out at 2.2 g/cm³.

***

Material: Y2SnHgSb
Method: DFT, GGA-PBEsol
State: optimized geometry

The space group is P4/mmm (No. 123) and the conventional cell measures 5.641, 5.641 and 5.517 Å, with angles of 90.00, 90.00 and 90.00 degrees. The asymmetric unit holds Y at (0.000, 0.500, 0.000), Sn at (0.000, 0.000, 0.000), Hg at (0.500, 0.500, 0.500) and Sb at (0.000, 0.000, 0.500).

The formation energy without anion corrections is 0.274 eV per atom. The calculation puts the total magnetization at 0.00 μB/atom. The theoretical density comes out at 5.9 g/cm³.

***

Material: CrAs2Ir
Method: DFT, GGA-PBEsol
State: optimized geometry

The space group is C2/m (No. 12) and the conventional cell measures 7.836, 2.916 and 5.116 Å, with angles of 90.00, 102.99 and 90.00 degrees. The asymmetric unit holds Cr at (0.000, 0.000, 0.000), As at (0.246, 0.500, 0.231) and Ir at (0.000, 0.500, 0.500).

For the energy relative to the elements, the calculation gives 102.9 meV/atom. The calculation puts the total magnetization at 0.36 μB/atom. The theoretical density comes out at 11.5 g/cm³.

***

Material: La2HgBi
Method: DFT, GGA-PBEsol
State: optimized geometry

The space group is Fm-3m (No. 225) and the conventional cell measures 7.792, 7.792 and 7.792 Å, with angles of 90.00, 90.00 and 90.00 degrees. The asymmetric unit holds La at (0.250, 0.250, 0.250), Hg at (0.000, 0.000, 0.000) and Bi at (0.000, 0.000, 0.500).

For the energy relative to the elements, the calculation gives -688.6 meV/atom. The calculation puts the total magnetization at 0.00 μB/atom. The theoretical density comes out at 9.6 g/cm³.

***

Material: Ge2RhI
Method: DFT, GGA-PBEsol
State: optimized geometry

The space group is Fm-3m (No. 225) and the conventional cell measures 6.751, 6.751 and 6.751 Å, with angles of 90.00, 90.00 and 90.00 degrees. The asymmetric unit holds Ge at (0.250, 0.250, 0.250), Rh at (0.000, 0.000, 0.000) and I at (0.000, 0.000, 0.500).

The formation energy without anion corrections is 0.613 eV per atom. The calculation puts the total magnetization at 0.00 μB/atom. The theoretical density comes out at 8.1 g/cm³.

***

Material: PrAl2Si2
Method: DFT, GGA-PBEsol
State: optimized geometry

The space group is P-3m1 (No. 164) and the conventional cell measures 4.2094, 4.2094 and 6.7867 Å, with angles of 90.00, 90.00 and 120.00 degrees. The asymmetric unit holds Pr at (0.0000, 0.0000, 0.0000), Al at (0.3333, 0.6667, 0.6405) and Si at (0.3333, 0.6667, 0.2684).

The formation energy without anion corrections is -0.402 eV per atom. The calculation puts the total magnetization at 0.00 μB/atom. The theoretical density comes out at 4.0 g/cm³.

***

Material: Ni3SCl
Method: DFT, GGA-PBEsol
State: optimized geometry

The space group is Pm-3m (No. 221) and the conventional cell measures 4.170, 4.170 and 4.170 Å, with angles of 90.00, 90.00 and 90.00 degrees. The asymmetric unit holds Ni at (0.000, 0.000, 0.500), S at (0.000, 0.000, 0.000) and Cl at (0.500, 0.500, 0.500).

The formation energy without anion corrections is 0.224 eV per atom. The calculation puts the total magnetization at 0.00 μB/atom. The theoretical density comes out at 5.6 g/cm³.

***

Material: Bi2MoW
Method: DFT, GGA-PBEsol
State: optimized geometry

The space group is Fm-3m (No. 225) and the conventional cell measures 6.783, 6.783 and 6.783 Å, with angles of 90.00, 90.00 and 90.00 degrees. The asymmetric unit holds Bi at (0.250, 0.250, 0.250), Mo at (0.000, 0.000, 0.000) and W at (0.000, 0.000, 0.500).

For the energy relative to the elements, the calculation gives 922.7 meV/atom. The calculation puts the total magnetization at 0.00 μB/atom. The theoretical density comes out at 14.9 g/cm³.

***

Material: ScAsOs
Method: DFT, GGA-PBEsol
State: optimized geometry

The space group is F-43m (No. 216) and the conventional cell measures 6.033, 6.033 and 6.033 Å, with angles of 90.00, 90.00 and 90.00 degrees. The asymmetric unit holds Sc at (0.000, 0.000, 0.000), As at (0.000, 0.000, 0.500) and Os at (0.250, 0.250, 0.250).

For the energy relative to the elements, the calculation gives -230.8 meV/atom. The calculation puts the total magnetization at 0.00 μB/atom. The theoretical density comes out at 9.4 g/cm³.

***

Material: LaTlIn
Method: DFT, GGA-PBEsol
State: optimized geometry

The space group is P3m1 (No. 156) and the conventional cell measures 4.9652, 4.9652 and 3.9133 Å, with angles of 90.00, 90.00 and 120.00 degrees. The asymmetric unit holds La at (0.0000, 0.0000, 0.0000), Tl at (0.3333, 0.6667, 0.3959) and In at (0.6667, 0.3333, 0.5759).

For the energy relative to the elements, the calculation gives -467.9 meV/atom. The calculation puts the total magnetization at 0.00 μB/atom. The theoretical density comes out at 9.1 g/cm³.

***

Material: Ni2PtRh
Method: DFT, GGA-PBEsol
State: optimized geometry

The space group is R-3m (No. 166, hexagonal axes) and the conventional cell measures 2.6390, 2.6390 and 25.0964 Å, with angles of 90.00, 90.00 and 120.00 degrees. The asymmetric unit holds Ni at (0.0000, 0.0000, 0.2481), Pt at (0.0000, 0.0000, 0.0000) and Rh at (0.0000, 0.0000, 0.5000).

For the energy relative to the elements, the calculation gives 15.8 meV/atom. The calculation puts the total magnetization at 0.55 μB/atom. The theoretical density comes out at 13.7 g/cm³.

***

Material: Re2WCl
Method: DFT, GGA-PBEsol
State: optimized geometry

The space group is Cmmm (No. 65) and the conventional cell measures 3.015, 4.662 and 8.763 Å, with angles of 90.00, 90.00 and 90.00 degrees. The asymmetric unit holds Re at (0.000, 0.000, 0.243), W at (0.000, 0.500, 0.000) and Cl at (0.000, 0.500, 0.500).

The formation energy without anion corrections is 0.625 eV per atom. The calculation puts the total magnetization at 0.00 μB/atom. The theoretical density comes out at 16.0 g/cm³.

***

Material: Be3SbP
Method: DFT, GGA-PBEsol
State: optimized geometry

The space group is Pm-3m (No. 221) and the conventional cell measures 4.212, 4.212 and 4.212 Å, with angles of 90.00, 90.00 and 90.00 degrees. The asymmetric unit holds Be at (0.000, 0.000, 0.500), Sb at (0.500, 0.500, 0.500) and P at (0.000, 0.000, 0.000).

The formation energy without anion corrections is 0.475 eV per atom. The calculation puts the total magnetization at 0.00 μB/atom. The theoretical density comes out at 4.0 g/cm³.

***

Material: ScCoBr2
Method: DFT, GGA-PBEsol
State: optimized geometry

The space group is Cmmm (No. 65) and the conventional cell measures 3.414, 5.977 and 7.868 Å, with angles of 90.00, 90.00 and 90.00 degrees. The asymmetric unit holds Sc at (0.000, 0.000, 0.000), Co at (0.000, 0.000, 0.500) and Br at (0.000, 0.500, 0.277).

The formation energy without anion corrections is -0.080 eV per atom. The calculation puts the total magnetization at 0.44 μB/atom. The theoretical density comes out at 5.5 g/cm³. The energy above the most stable polymorph in this dataset is 0.622 eV/atom.

***

Material: TlInMo
Method: DFT, GGA-PBEsol
State: optimized geometry

The space group is I4mm (No. 107) and the conventional cell measures 2.946, 2.946 and 14.257 Å, with angles of 90.00, 90.00 and 90.00 degrees. The asymmetric unit holds Tl at (0.000, 0.000, 0.000), In at (0.000, 0.000, 0.698) and Mo at (0.000, 0.000, 0.343).

For the energy relative to the elements, the calculation gives 618.5 meV/atom. The calculation puts the total magnetization at 0.00 μB/atom. The theoretical density comes out at 11.1 g/cm³.

***

Material: Y2Pt2S7
Method: DFT, GGA-PBEsol
State: optimized geometry

The space group is Fd-3m (No. 227, origin choice 2) and the conventional cell measures 12.046, 12.046 and 12.046 Å, with angles of 90.00, 90.00 and 90.00 degrees. The asymmetric unit holds Y at (0.000, 0.000, 0.000), Pt at (0.000, 0.000, 0.500), S at (0.087, 0.375, 0.875) and S at (0.125, 0.125, 0.125).

The formation energy without anion corrections is -1.136 eV per atom. The calculation puts the total magnetization at 0.00 μB/atom. The theoretical density comes out at 6.0 g/cm³.

***

Material: LiZnHg2
Method: DFT, GGA-PBEsol
State: optimized geometry

The space group is I-4m2 (No. 119) and the conventional cell measures 4.165, 4.165 and 8.364 Å, with angles of 90.00, 90.00 and 90.00 degrees. The asymmetric unit holds Li at (0.000, 0.000, 0.000), Zn at (0.000, 0.500, 0.250), Hg at (0.000, 0.000, 0.500) and Hg at (0.000, 0.500, 0.750).

For the energy relative to the elements, the calculation gives -177.4 meV/atom. The calculation puts the total magnetization at 0.00 μB/atom. The theoretical density comes out at 10.8 g/cm³.